A geometry-optimized HoEr6Te8 structure. Source: Alexandria, functional PBE.

a b c (Å): 8.6066 8.6066 8.6066
angles (deg): 60.00 60.00 60.00
Sites, in units of the cell vectors:
Te 0.7438 0.7438 0.2562
Er 0.5000 0.0000 0.0000
Ho 0.0000 0.0000 0.0000
Te 0.2500 0.2500 0.2500
Te 0.2562 0.7438 0.2562
Te 0.7438 0.2562 0.7438
Er 0.5000 0.0000 0.5000
Er 0.0000 0.5000 0.0000
Te 0.7438 0.2562 0.2562
Te 0.7500 0.7500 0.7500
Er 0.0000 0.0000 0.5000
Te 0.2562 0.7438 0.7438
Er 0.0000 0.5000 0.5000
Er 0.5000 0.5000 0.0000
Te 0.2562 0.2562 0.7438

Formation energy from raw total energies in kcal/mol of atoms: -30.27
M_tot in μB/atom: 0.000
Raw total energy in Ry per atom: -0.3762
Volume in Å³ per cell: 450.8

=====

A geometry-optimized Ho4ErTe5 structure. Source: Alexandria, functional PBE.

a b c (Å): 4.2594 4.2594 16.2296
angles (deg): 97.54 97.54 90.00
Sites, in units of the cell vectors:
Ho 0.3894 0.3894 0.7788
Te 0.0936 0.0936 0.1873
Te 0.7080 0.7080 0.4160
Er 0.0000 0.0000 0.0000
Ho 0.1879 0.1879 0.3758
Te 0.5000 0.5000 0.0000
Ho 0.6106 0.6106 0.2212
Te 0.2920 0.2920 0.5840
Te 0.9064 0.9064 0.8127
Ho 0.8121 0.8121 0.6242

Relative energy among the computed polymorphs in meV per atom: 0
Formation energy from raw total energies in kcal/mol of atoms: -28.61
M_tot in μB/atom: 0.000
Raw total energy in Ry per atom: -0.3748
Volume in Å³ per cell: 289.3

=====

A geometry-optimized HoErTh2Te5 structure. Source: Alexandria, functional PBE.

a b c (Å): 5.3978 5.3978 11.5204
angles (deg): 90.00 90.00 90.00
Sites, in units of the cell vectors:
Te 0.0000 0.5000 0.5000
Th 0.5000 0.5000 0.6633
Te 0.0000 0.0000 0.7539
Ho 0.0000 0.0000 0.0000
Er 0.0000 0.0000 0.5000
Te 0.5000 0.0000 0.5000
Te 0.0000 0.0000 0.2461
Th 0.5000 0.5000 0.3367
Te 0.5000 0.5000 0.0000

Formation energy from raw total energies in kcal/mol of atoms: -12.21
M_tot in μB/atom: 0.000
Raw total energy in Ry per atom: -0.3630
Volume in Å³ per cell: 335.7

=====

A geometry-optimized Ho2ErTh3Te6 structure. Source: Alexandria, functional PBE.

a b c (Å): 4.1964 9.2499 10.1735
angles (deg): 110.78 101.90 90.00
Sites, in units of the cell vectors:
Te 0.3299 0.4261 0.6599
Ho 0.1667 0.3326 0.3334
Te 0.3374 0.9091 0.6748
Th 0.8329 0.1671 0.6659
Th 0.1671 0.8329 0.3341
Te 0.6626 0.0909 0.3252
Ho 0.8333 0.6674 0.6666
Te 0.9968 0.7598 0.9936
Er 0.5000 0.0000 0.0000
Te 0.0032 0.2402 0.0064
Te 0.6701 0.5739 0.3401
Th 0.5000 0.5000 0.0000

Formation energy from raw total energies in kcal/mol of atoms: -25.82
M_tot in μB/atom: 0.000
Raw total energy in Ry per atom: -0.4181
Volume in Å³ per cell: 360.1

=====

A geometry-optimized Ho2Er3ThTe6 structure. Source: Alexandria, functional PBE.

a b c (Å): 4.2694 8.8668 9.9108
angles (deg): 106.34 102.44 90.00
Sites, in units of the cell vectors:
Te 0.3267 0.9259 0.6534
Ho 0.8434 0.6905 0.6868
Te 0.9983 0.2620 0.9965
Te 0.6733 0.0741 0.3466
Te 0.6707 0.5749 0.3415
Er 0.8392 0.1788 0.6784
Er 0.5000 0.5000 0.0000
Ho 0.1566 0.3095 0.3132
Te 0.0017 0.7380 0.0035
Te 0.3293 0.4251 0.6585
Th 0.5000 0.0000 0.0000
Er 0.1608 0.8212 0.3216

Formation energy from raw total energies in kcal/mol of atoms: -27.30
M_tot in μB/atom: 0.000
Raw total energy in Ry per atom: -0.3878
Volume in Å³ per cell: 350.8

=====

A geometry-optimized Ho3ErTl4Te8 structure. Source: Alexandria, functional PBE.

a b c (Å): 8.8666 9.6585 8.8666
angles (deg): 117.34 120.00 90.00
Sites, in units of the cell vectors:
Te 0.7631 0.2882 0.0249
Tl 0.5000 0.0000 0.5000
Te 0.2369 0.7118 0.4739
Tl 0.0000 0.0000 0.5000
Te 0.7382 0.7118 0.9751
Te 0.7375 0.7123 0.4750
Te 0.2369 0.7118 0.9751
Te 0.7631 0.2882 0.5261
Ho 0.5000 0.5000 0.0000
Ho 0.5000 0.5000 0.5000
Tl 0.0000 0.0000 0.0000
Tl 0.5000 0.0000 0.0000
Ho 0.0000 0.5000 0.5000
Er 0.0000 0.5000 0.0000
Te 0.2625 0.2877 0.5250
Te 0.2618 0.2882 0.0249

Formation energy from raw total energies in kcal/mol of atoms: -24.08
M_tot in μB/atom: 0.000
Raw total energy in Ry per atom: -0.3197
Volume in Å³ per cell: 557.5

=====

A geometry-optimized HoEr2Tl3Te6 structure. Source: Alexandria, functional PBE.

a b c (Å): 7.6691 7.6691 8.5798
angles (deg): 98.57 98.57 120.00
Sites, in units of the cell vectors:
Tl 0.8336 0.1664 0.5000
Te 0.2638 0.2638 0.7886
Te 0.7362 0.7362 0.2114
Te 0.9294 0.5952 0.7883
Tl 0.5000 0.5000 0.5000
Te 0.5952 0.9294 0.7883
Te 0.0706 0.4048 0.2117
Te 0.4048 0.0706 0.2117
Tl 0.1664 0.8336 0.5000
Er 0.3333 0.6667 0.0000
Ho 0.0000 0.0000 0.0000
Er 0.6667 0.3333 0.0000

Formation energy from raw total energies in kcal/mol of atoms: -24.01
M_tot in μB/atom: 0.000
Raw total energy in Ry per atom: -0.3194
Volume in Å³ per cell: 417.2

=====

A geometry-optimized Ho2ErTl3Te6 structure. Source: Alexandria, functional PBE.

a b c (Å): 7.6766 7.6766 8.5791
angles (deg): 98.58 98.58 120.00
Sites, in units of the cell vectors:
Er 0.0000 0.0000 0.0000
Ho 0.6666 0.3334 0.0000
Tl 0.8329 0.1671 0.5000
Ho 0.3334 0.6666 0.0000
Te 0.4030 0.0706 0.2118
Tl 0.5000 0.5000 0.5000
Tl 0.1671 0.8329 0.5000
Te 0.0706 0.4030 0.2118
Te 0.5970 0.9294 0.7882
Te 0.9294 0.5970 0.7882
Te 0.7384 0.7384 0.2121
Te 0.2616 0.2616 0.7879

Formation energy from raw total energies in kcal/mol of atoms: -24.07
M_tot in μB/atom: 0.000
Raw total energy in Ry per atom: -0.3197
Volume in Å³ per cell: 417.9

=====

A geometry-optimized HoEr3Tl4Te8 structure. Source: Alexandria, functional PBE.

a b c (Å): 8.8533 9.6534 8.8527
angles (deg): 117.31 120.00 90.00
Sites, in units of the cell vectors:
Te 0.2636 0.2883 0.0259
Te 0.2377 0.7117 0.4754
Te 0.2629 0.2888 0.5258
Te 0.2377 0.7117 0.9741
Te 0.7364 0.7117 0.9741
Te 0.7371 0.7112 0.4742
Te 0.7623 0.2883 0.5246
Te 0.7623 0.2883 0.0259
Tl 0.0000 0.0000 0.0000
Tl 0.0000 0.0000 0.5000
Tl 0.5000 0.0000 0.0000
Er 0.0000 0.5000 0.5000
Ho 0.0000 0.5000 0.0000
Er 0.5000 0.5000 0.5000
Er 0.5000 0.5000 0.0000
Tl 0.5000 0.0000 0.5000

Formation energy from raw total energies in kcal/mol of atoms: -23.99
M_tot in μB/atom: 0.000
Raw total energy in Ry per atom: -0.3193
Volume in Å³ per cell: 555.7

=====

A geometry-optimized Ho2Er3TmTe6 structure. Source: Alexandria, functional PBE.

a b c (Å): 4.2997 8.6825 9.6550
angles (deg): 102.93 102.87 90.00
Sites, in units of the cell vectors:
Te 0.9994 0.2484 0.9988
Te 0.6653 0.0813 0.3306
Tm 0.5000 0.0000 0.0000
Er 0.5000 0.5000 0.0000
Te 0.3345 0.4163 0.6689
Te 0.0006 0.7516 0.0012
Ho 0.8318 0.6650 0.6635
Te 0.3347 0.9187 0.6694
Ho 0.1682 0.3350 0.3365
Er 0.8314 0.1670 0.6627
Er 0.1686 0.8330 0.3373
Te 0.6655 0.5837 0.3311

Formation energy from raw total energies in kcal/mol of atoms: -28.00
M_tot in μB/atom: 0.000
Raw total energy in Ry per atom: -0.3720
Volume in Å³ per cell: 342.0

=====

A geometry-optimized Ho2ErTmTe6 structure. Source: Alexandria, functional PBE.

a b c (Å): 7.6352 7.6352 8.2533
angles (deg): 62.45 62.45 60.00
Sites, in units of the cell vectors:
Te 0.1004 0.4181 0.7526
Er 0.8240 0.8240 0.5280
Ho 0.5090 0.5091 0.4729
Te 0.4182 0.7289 0.7526
Te 0.9195 0.5990 0.2519
Te 0.2296 0.9195 0.2520
Ho 0.0088 0.0088 0.9736
Tm 0.3243 0.3243 0.0272
Te 0.5990 0.2295 0.2520
Te 0.7289 0.1004 0.7526

Formation energy from raw total energies in kcal/mol of atoms: -31.02
M_tot in μB/atom: 0.000
Raw total energy in Ry per atom: -0.3711
Volume in Å³ per cell: 352.3

=====

A geometry-optimized HoEr3Tm2Te6 structure. Source: Alexandria, functional PBE.

a b c (Å): 4.2968 8.6677 9.6648
angles (deg): 103.50 102.84 90.00
Sites, in units of the cell vectors:
Tm 0.8346 0.6696 0.6691
Er 0.1647 0.8318 0.3294
Er 0.5000 0.5000 0.0000
Te 0.3323 0.4187 0.6647
Ho 0.5000 0.0000 0.0000
Te 0.0008 0.2516 0.0016
Tm 0.1654 0.3304 0.3309
Er 0.8353 0.1682 0.6706
Te 0.9992 0.7484 0.9984
Te 0.6677 0.5813 0.3353
Te 0.3320 0.9162 0.6640
Te 0.6680 0.0838 0.3360

Formation energy from raw total energies in kcal/mol of atoms: -27.70
M_tot in μB/atom: 0.000
Raw total energy in Ry per atom: -0.3704
Volume in Å³ per cell: 340.7

=====

Which formula does entry 11 have? Ho2ErTmTe6

=====

The lowest raw total energy belongs to which entry? Ho2ErTh3Te6

=====

What is the formula in the eighth record? Ho2ErTl3Te6